(1)
Density functional theory data (PBE) for a relaxed Tm6TlHg5 crystal.

Cell: 5.209 7.381 8.245 Å, 90.00 71.59 90.00°
Sites, in units of the cell vectors:
Tm 0.169 0.252 0.663
Tm 0.831 0.748 0.337
Tm 0.500 0.254 0.000
Tm 0.831 0.252 0.337
Tm 0.500 0.746 0.000
Tm 0.169 0.748 0.663
Hg 0.666 0.500 0.669
Hg 0.000 0.500 0.000
Hg 0.332 0.000 0.336
Hg 0.334 0.500 0.331
Hg 0.668 0.000 0.664
Tl 0.000 0.000 0.000

Output
Its symmetry is Cmmm, No. 65. The energy of formation from the pure elements is -0.4461 eV/atom. Its density of states at the Fermi level is 0.704 states/eV per atom.

---

(2)
Density functional theory data (PBE) for a relaxed TmTl2Hg crystal.

Cell: 3.483 3.483 11.644 Å, 81.40 81.40 60.00°
Sites, in units of the cell vectors:
Tl 0.910 0.910 0.271
Tl 0.090 0.090 0.729
Hg 0.500 0.500 0.500
Tm 0.000 0.000 0.000

Output
Its symmetry is R-3m, No. 166. The energy of formation from the pure elements is 0.1076 eV/atom. Its density of states at the Fermi level is 0.694 states/eV per atom.

---

(3)
Density functional theory data (PBE) for a relaxed Tm3TlHg crystal.

Cell: 5.070 5.073 10.733 Å, 90.00 76.34 90.00°
Sites, in units of the cell vectors:
Hg 0.171 0.250 0.306
Hg 0.477 0.750 0.694
Tm 0.882 0.750 0.884
Tm 0.574 0.250 0.500
Tm 0.382 0.250 0.884
Tm 0.266 0.750 0.116
Tm 0.766 0.250 0.116
Tm 0.074 0.750 0.500
Tl 0.669 0.750 0.311
Tl 0.980 0.250 0.689

Output
Its symmetry is Cmcm, No. 63. The energy of formation from the pure elements is -0.2994 eV/atom. Its density of states at the Fermi level is 1.279 states/eV per atom.

---

(4)
Density functional theory data (PBE) for a relaxed TmTlHg2 crystal.

Cell: 4.239 4.849 4.849 Å, 90.00 90.00 90.00°
Sites, in units of the cell vectors:
Hg 0.000 0.000 0.500
Hg 0.000 0.500 0.000
Tm 0.500 0.500 0.500
Tl 0.500 0.000 0.000

Output
Its symmetry is P4/mmm, No. 123. The energy of formation from the pure elements is -0.2435 eV/atom. Its density of states at the Fermi level is 0.729 states/eV per atom.

---

(5)
Density functional theory data (PBE) for a relaxed Tm12Tl5Hg2 crystal.

Cell: 7.236 9.234 8.997 Å, 83.28 90.00 113.07°
Sites, in units of the cell vectors:
Tl 0.771 0.542 0.252
Tl 0.302 0.603 0.233
Tl 0.229 0.458 0.748
Tl 0.698 0.397 0.767
Tl 0.000 0.000 0.500
Hg 0.688 0.000 0.000
Hg 0.312 0.000 0.000
Tm 0.594 0.702 0.506
Tm 0.493 0.985 0.690
Tm 0.601 0.682 0.913
Tm 0.080 0.682 0.913
Tm 0.108 0.702 0.506
Tm 0.920 0.318 0.087
Tm 0.399 0.318 0.087
Tm 0.043 0.086 0.809
Tm 0.406 0.298 0.494
Tm 0.892 0.298 0.494
Tm 0.957 0.914 0.191
Tm 0.507 0.015 0.310

Output
Its symmetry is C2/m, No. 12. The energy of formation from the pure elements is -0.1258 eV/atom. Its density of states at the Fermi level is 0.902 states/eV per atom.

---

(6)
Density functional theory data (PBE) for a relaxed TmTl2Hg crystal.

Cell: 5.369 5.369 5.293 Å, 59.52 59.52 60.00°
Sites, in units of the cell vectors:
Tl 0.999 0.999 0.002
Tl 0.251 0.251 0.248
Hg 0.501 0.501 0.498
Tm 0.749 0.749 0.752

Output
Its symmetry is R3m, No. 160. The energy of formation from the pure elements is -0.0905 eV/atom. Its density of states at the Fermi level is 0.808 states/eV per atom.

---

(7)
Density functional theory data (PBE) for a relaxed Tm4TlHg2 crystal.

Cell: 4.942 4.942 10.170 Å, 75.94 75.94 60.00°
Sites, in units of the cell vectors:
Hg 0.898 0.898 0.305
Hg 0.102 0.102 0.695
Tl 0.000 0.000 0.000
Tm 0.380 0.380 0.859
Tm 0.797 0.797 0.608
Tm 0.620 0.620 0.141
Tm 0.203 0.203 0.392

Output
Its symmetry is R-3m, No. 166. The energy of formation from the pure elements is -0.1226 eV/atom. Its density of states at the Fermi level is 1.155 states/eV per atom.

---

(8)
Density functional theory data (PBE) for a relaxed TmTl2Hg crystal.

Cell: 4.656 4.697 4.697 Å, 90.00 90.00 90.00°
Sites, in units of the cell vectors:
Hg 0.500 0.000 0.000
Tl 0.000 0.000 0.500
Tl 0.000 0.500 0.000
Tm 0.500 0.500 0.500

Output
Its symmetry is P4/mmm, No. 123. The energy of formation from the pure elements is -0.2023 eV/atom. Its density of states at the Fermi level is 0.759 states/eV per atom.

---

(9)
Density functional theory data (PBE) for a relaxed Tm5Tl6Hg crystal.

Cell: 4.834 8.976 8.976 Å, 111.62 105.58 105.58°
Sites, in units of the cell vectors:
Tl 0.258 0.086 0.430
Tl 0.742 0.570 0.914
Tl 0.742 0.914 0.570
Tl 0.230 0.730 0.730
Tl 0.770 0.270 0.270
Tl 0.258 0.430 0.086
Tm 0.500 0.500 0.500
Tm 0.000 0.678 0.322
Tm 0.500 0.862 0.138
Tm 0.000 0.322 0.678
Tm 0.500 0.138 0.862
Hg 0.000 0.000 0.000

Output
Its symmetry is C2/m, No. 12. The energy of formation from the pure elements is -0.2586 eV/atom. Its density of states at the Fermi level is 0.615 states/eV per atom.

---

(10)
Density functional theory data (PBE) for a relaxed Tm7Tl4Hg crystal.

Cell: 5.558 9.202 7.831 Å, 80.60 69.22 72.42°
Sites, in units of the cell vectors:
Tl 0.288 0.340 0.084
Tl 0.427 0.780 0.366
Tl 0.573 0.220 0.634
Tl 0.712 0.660 0.916
Tm 0.346 0.584 0.724
Tm 0.073 0.680 0.173
Tm 0.654 0.416 0.276
Tm 0.500 0.000 0.000
Tm 0.927 0.320 0.827
Tm 0.214 0.133 0.440
Tm 0.786 0.867 0.560
Hg 0.000 0.000 0.000

Output
Its symmetry is C2/m, No. 12. The energy of formation from the pure elements is -0.0568 eV/atom. Its density of states at the Fermi level is 1.084 states/eV per atom.

---

(11)
Density functional theory data (PBE) for a relaxed Tm3TlHg crystal.

Cell: 6.584 6.584 15.515 Å, 76.57 76.57 61.73°
Sites, in units of the cell vectors:
Hg 0.500 0.000 0.000
Hg 0.745 0.255 0.250
Hg 0.000 0.500 0.500
Hg 0.255 0.745 0.750
Tm 0.261 0.102 0.185
Tm 0.839 0.631 0.111
Tm 0.161 0.369 0.889
Tm 0.898 0.739 0.315
Tm 0.631 0.839 0.611
Tm 0.208 0.756 0.559
Tm 0.756 0.208 0.059
Tm 0.792 0.244 0.441
Tm 0.369 0.161 0.389
Tm 0.244 0.792 0.941
Tm 0.739 0.898 0.815
Tm 0.102 0.261 0.685
Tl 0.395 0.705 0.350
Tl 0.295 0.605 0.150
Tl 0.705 0.395 0.850
Tl 0.605 0.295 0.650

Output
Its symmetry is C2/c, No. 15. The energy of formation from the pure elements is -0.1510 eV/atom. Its density of states at the Fermi level is 0.868 states/eV per atom.

---

(12)
Density functional theory data (PBE) for a relaxed YTmTlHg crystal.

Cell: 3.746 3.746 7.467 Å, 90.00 90.00 90.00°
Sites, in units of the cell vectors:
Hg 0.000 0.000 0.364
Tm 0.500 0.500 0.597
Y 0.500 0.500 0.115
Tl 0.000 0.000 0.852

Output
Its symmetry is P4mm, No. 99. The energy of formation from the pure elements is -0.4174 eV/atom. Its density of states at the Fermi level is 0.994 states/eV per atom.